(A)
Material: AcZr2Mo
Method: DFT, PBE-GGA
State: optimized geometry

a = 3.4638 Å, b = 3.4638 Å, c = 8.4195 Å
α = 90.00°, β = 90.00°, γ = 90.00°
Closest atoms and distances in Å follow each position.
Space group P4/mmm (No. 123)
Inequivalent atoms, fractional coordinates:
Ac 0.0000 0.0000 0.0000 (multiplicity 1)  4 Ac 3.46, 8 Zr 3.62
Zr 0.5000 0.5000 0.3172 (multiplicity 2)  4 Mo 2.89, 1 Zr 3.08
Mo 0.0000 0.0000 0.5000 (multiplicity 1)  8 Zr 2.89

Summary:
magnetic moment	0.00	μB/atom
N(E_F)	1.789	states/eV/atom

(B)
Material: AcZr2Mo
Method: DFT, PBE-GGA
State: optimized geometry

a = 3.3564 Å, b = 3.3564 Å, c = 32.0206 Å
α = 90.00°, β = 90.00°, γ = 120.00°
Closest atoms and distances in Å follow each position.
Space group R-3m (No. 166, hexagonal axes)
Inequivalent atoms, fractional coordinates:
Ac 0.0000 0.0000 0.0000 (multiplicity 3)  2 Zr 3.34, 6 Ac 3.36
Zr 0.0000 0.0000 0.1043 (multiplicity 6)  3 Mo 2.78
Mo 0.0000 0.0000 0.5000 (multiplicity 3)  6 Zr 2.78

Summary:
magnetic moment	0.00	μB/atom
N(E_F)	1.333	states/eV/atom

Result of the stability comparison: (A) is the most stable of them.

(A)
Material: Ac5N4
Method: DFT, PBE-GGA
State: optimized geometry

a = 8.7297 Å, b = 8.7297 Å, c = 5.5580 Å
α = 90.00°, β = 90.00°, γ = 90.00°
Closest atoms and distances in Å follow each position.
Space group I4/m (No. 87)
Inequivalent atoms, fractional coordinates:
Ac 0.0000 0.0000 0.0000 (multiplicity 2)  4 N 2.73
Ac 0.1068 0.3109 0.5000 (multiplicity 8)  5 N 2.59-2.82
N 0.0918 0.2994 0.0000 (multiplicity 8)  6 Ac 2.59-2.82

Summary:
magnetic moment	0.00	μB/atom
N(E_F)	0.420	states/eV/atom

(B)
Material: Ac5N4
Method: DFT, PBE-GGA
State: optimized geometry

a = 11.6894 Å, b = 11.6894 Å, c = 3.3919 Å
α = 90.00°, β = 90.00°, γ = 90.00°
Closest atoms and distances in Å follow each position.
Space group I4/mmm (No. 139)
Inequivalent atoms, fractional coordinates:
Ac 0.0000 0.0000 0.0000 (multiplicity 2)  8 N 2.78, 4 Ac 2.99
Ac 0.0000 0.2560 0.0000 (multiplicity 8)  4 N 2.71, 1 Ac 2.99
N 0.1331 0.1331 0.5000 (multiplicity 8)  6 Ac 2.71-2.78

Summary:
magnetic moment	0.00	μB/atom
N(E_F)	0.489	states/eV/atom

Result of the stability comparison: (A) is the most stable of them.

(A)
Material: Ac3N
Method: DFT, PBE-GGA
State: optimized geometry

a = 3.6199 Å, b = 11.1153 Å, c = 6.6280 Å
α = 90.00°, β = 90.00°, γ = 90.00°
Closest atoms and distances in Å follow each position.
Space group Imm2 (No. 44)
Inequivalent atoms, fractional coordinates:
Ac 0.0000 0.0000 0.0000 (multiplicity 2)  2 N 2.55
Ac 0.0000 0.1601 0.5362 (multiplicity 4)  2 N 2.84
N 0.0000 0.5000 0.2291 (multiplicity 2)  6 Ac 2.55-2.84

Summary:
magnetic moment	0.00	μB/atom
N(E_F)	1.125	states/eV/atom

(B)
Material: Ac3N
Method: DFT, PBE-GGA
State: optimized geometry

a = 3.5676 Å, b = 3.7169 Å, c = 10.0517 Å
α = 90.00°, β = 90.00°, γ = 90.00°
Closest atoms and distances in Å follow each position.
Space group Pmm2 (No. 25)
Inequivalent atoms, fractional coordinates:
Ac 0.0000 0.0000 0.0000 (multiplicity 1)  2 N 2.76
Ac 0.0000 0.5000 0.3016 (multiplicity 1)  4 N 2.74
Ac 0.5000 0.5000 0.6796 (multiplicity 1)  4 Ac 3.57-3.72
N 0.5000 0.0000 0.2089 (multiplicity 1)  6 Ac 2.74-2.76

Summary:
magnetic moment	0.00	μB/atom
N(E_F)	1.099	states/eV/atom

(C)
Material: Ac3N
Method: DFT, PBE-GGA
State: optimized geometry

a = 4.8076 Å, b = 4.8076 Å, c = 11.0917 Å
α = 90.00°, β = 90.00°, γ = 90.00°
Closest atoms and distances in Å follow each position.
Space group I4/mmm (No. 139)
Inequivalent atoms, fractional coordinates:
Ac 0.0000 0.0000 0.0000 (multiplicity 2)  4 N 3.40, 8 Ac 3.67
Ac 0.0000 0.5000 0.2500 (multiplicity 4)  8 Ac 3.40-3.67, 4 N 3.67
N 0.0000 0.0000 0.5000 (multiplicity 2)  12 Ac 3.40-3.67

Summary:
magnetic moment	0.00	μB/atom
N(E_F)	1.289	states/eV/atom

Result of the stability comparison: (A) is the most stable of them.

(A)
Material: AcN
Method: DFT, PBE-GGA
State: optimized geometry

a = 3.7700 Å, b = 3.7700 Å, c = 6.5793 Å
α = 90.00°, β = 90.00°, γ = 120.00°
Closest atoms and distances in Å follow each position.
Space group P6_3/mmc (No. 194)
Inequivalent atoms, fractional coordinates:
Ac 0.3333 0.6667 0.2500 (multiplicity 2)  6 N 2.73
N 0.0000 0.0000 0.0000 (multiplicity 2)  6 Ac 2.73

Summary:
magnetic moment	0.00	μB/atom
N(E_F)	0.004	states/eV/atom

(B)
Material: AcN
Method: DFT, PBE-GGA
State: optimized geometry

a = 3.9650 Å, b = 5.4241 Å, c = 3.9685 Å
α = 90.00°, β = 90.53°, γ = 90.00°
Closest atoms and distances in Å follow each position.
Space group P2_1/m (No. 11)
Inequivalent atoms, fractional coordinates:
Ac 0.2440 0.2500 0.2521 (multiplicity 2)  4 N 2.60-2.72
N 0.1818 0.7500 0.2543 (multiplicity 2)  4 Ac 2.60-2.72

Summary:
magnetic moment	0.00	μB/atom

Result of the stability comparison: (B) is the most stable of them.

(A)
Material: AcN
Method: DFT, PBE-GGA
State: optimized geometry

a = 4.2705 Å, b = 4.2705 Å, c = 6.3559 Å
α = 90.00°, β = 90.00°, γ = 120.00°
Closest atoms and distances in Å follow each position.
Space group P6_3mc (No. 186)
Inequivalent atoms, fractional coordinates:
Ac 0.3333 0.6667 0.0000 (multiplicity 2)  4 N 2.54-2.56
N 0.3333 0.6667 0.4021 (multiplicity 2)  4 Ac 2.54-2.56

Summary:
magnetic moment	0.00	μB/atom
N(E_F)	0.084	states/eV/atom

(B)
Material: AcN
Method: DFT, PBE-GGA
State: optimized geometry

a = 5.5367 Å, b = 5.5367 Å, c = 5.5367 Å
α = 90.00°, β = 90.00°, γ = 90.00°
Closest atoms and distances in Å follow each position.
Space group Fm-3m (No. 225)
Inequivalent atoms, fractional coordinates:
Ac 0.0000 0.0000 0.0000 (multiplicity 4)  6 N 2.77
N 0.0000 0.0000 0.5000 (multiplicity 4)  6 Ac 2.77

Summary:
magnetic moment	0.00	μB/atom
N(E_F)	0.168	states/eV/atom

Result of the stability comparison: (A) is the most stable of them.

(A)
Material: NaAc3N
Method: DFT, PBE-GGA
State: optimized geometry

a = 5.4720 Å, b = 5.4720 Å, c = 5.4720 Å
α = 90.00°, β = 90.00°, γ = 90.00°
Closest atoms and distances in Å follow each position.
Space group Pm-3m (No. 221)
Inequivalent atoms, fractional coordinates:
Na 0.0000 0.0000 0.0000 (multiplicity 1)  12 Ac 3.87
Ac 0.0000 0.5000 0.5000 (multiplicity 3)  2 N 2.74
N 0.5000 0.5000 0.5000 (multiplicity 1)  6 Ac 2.74

Summary:
magnetic moment	0.00	μB/atom
N(E_F)	1.247	states/eV/atom

(B)
Material: NaAc3N
Method: DFT, PBE-GGA
State: optimized geometry

a = 3.8444 Å, b = 10.7780 Å, c = 8.4123 Å
α = 90.00°, β = 103.16°, γ = 90.00°
Closest atoms and distances in Å follow each position.
Space group P2_1/m (No. 11)
Inequivalent atoms, fractional coordinates:
Na 0.2399 0.2500 0.4783 (multiplicity 2)  8 Ac 3.77-3.86, 2 Na 3.84
Ac 0.1075 0.5471 0.2152 (multiplicity 4)  2 N 2.66
Ac 0.4589 0.7500 0.9178 (multiplicity 2)  2 N 2.78
N 0.5000 0.0000 0.0000 (multiplicity 2)  6 Ac 2.66-2.78

Summary:
magnetic moment	0.00	μB/atom
N(E_F)	0.875	states/eV/atom

Result of the stability comparison: (B) is the most stable of them.

(A)
Material: NaAc2N
Method: DFT, PBE-GGA
State: optimized geometry

a = 3.8432 Å, b = 3.8432 Å, c = 30.4875 Å
α = 90.00°, β = 90.00°, γ = 120.00°
Closest atoms and distances in Å follow each position.
Space group R-3m (No. 166, hexagonal axes)
Inequivalent atoms, fractional coordinates:
Na 0.0000 0.0000 0.0000 (multiplicity 3)  6 Na 3.84, 6 Ac 4.22
Ac 0.0000 0.0000 0.2155 (multiplicity 6)  3 N 2.67
N 0.0000 0.0000 0.5000 (multiplicity 3)  6 Ac 2.67

Summary:
magnetic moment	0.00	μB/atom
N(E_F)	0.674	states/eV/atom

(B)
Material: NaAc2N
Method: DFT, PBE-GGA
State: optimized geometry

a = 3.4288 Å, b = 3.4288 Å, c = 9.9919 Å
α = 90.00°, β = 90.00°, γ = 90.00°
Closest atoms and distances in Å follow each position.
Space group P4/mmm (No. 123)
Inequivalent atoms, fractional coordinates:
Na 0.0000 0.0000 0.0000 (multiplicity 1)  4 Na 3.43
Ac 0.5000 0.5000 0.3415 (multiplicity 2)  4 N 2.90, 1 Ac 3.17
N 0.0000 0.0000 0.5000 (multiplicity 1)  8 Ac 2.90

Summary:
magnetic moment	0.00	μB/atom
N(E_F)	1.043	states/eV/atom

Result of the stability comparison: (A) is the most stable of them.

(A)
Material: AcNdN2
Method: DFT, PBE-GGA
State: optimized geometry

a = 3.6949 Å, b = 3.6949 Å, c = 19.3957 Å
α = 90.00°, β = 90.00°, γ = 120.00°
Closest atoms and distances in Å follow each position.
Space group R3m (No. 160, hexagonal axes)
Inequivalent atoms, fractional coordinates:
Ac 0.0000 0.0000 0.0000 (multiplicity 3)  3 N 2.55
Nd 0.0000 0.0000 0.8304 (multiplicity 3)  6 N 2.51-2.78
N 0.0000 0.0000 0.4053 (multiplicity 3)  3 Ac 2.55, 3 Nd 2.78
N 0.0000 0.0000 0.5656 (multiplicity 3)  3 Nd 2.51

Summary:
magnetic moment	0.00	μB/atom

(B)
Material: AcNdN2
Method: DFT, PBE-GGA
State: optimized geometry

a = 3.7770 Å, b = 3.7770 Å, c = 18.6224 Å
α = 90.00°, β = 90.00°, γ = 120.00°
Closest atoms and distances in Å follow each position.
Space group R-3m (No. 166, hexagonal axes)
Inequivalent atoms, fractional coordinates:
Ac 0.0000 0.0000 0.0000 (multiplicity 3)  6 N 2.72
Nd 0.0000 0.0000 0.5000 (multiplicity 3)  6 N 2.63
N 0.0000 0.0000 0.2457 (multiplicity 6)  3 Nd 2.63, 3 Ac 2.72

Summary:
magnetic moment	0.00	μB/atom
N(E_F)	0.170	states/eV/atom

(C)
Material: AcNdN2
Method: DFT, PBE-GGA
State: optimized geometry

a = 3.6854 Å, b = 3.6854 Å, c = 6.4976 Å
α = 90.00°, β = 90.00°, γ = 120.00°
Closest atoms and distances in Å follow each position.
Space group P-3m1 (No. 164)
Inequivalent atoms, fractional coordinates:
Ac 0.0000 0.0000 0.0000 (multiplicity 1)  6 N 2.72
Nd 0.0000 0.0000 0.5000 (multiplicity 1)  6 N 2.63
N 0.3333 0.6667 0.7386 (multiplicity 2)  3 Nd 2.63, 3 Ac 2.72

Summary:
magnetic moment	0.00	μB/atom
N(E_F)	0.101	states/eV/atom

Result of the stability comparison: (B) is the most stable of them.